{"formula": "CuTcOs4", "functional": "GGA-PBE", "state": "optimized geometry", "lattice_angstrom": [[0.000, 3.600, 3.600], [3.600, 0.000, 3.600], [3.600, 3.600, 0.000]], "species": ["Cu", "Tc", "Os", "Os", "Os", "Os"], "frac_coords": [[0.000, 0.000, 0.000], [0.750, 0.750, 0.750], [0.875, 0.375, 0.375], [0.375, 0.375, 0.875], [0.375, 0.875, 0.375], [0.375, 0.375, 0.375]], "space_group": "F-43m (216)", "total_magnetization_mub_per_cell": 0.00, "dos_ef_per_ev_cell": 7.7, "ef_mev_per_atom": 767.7}

***

{"formula": "SiMoBr2", "functional": "GGA-PBE", "state": "optimized geometry", "lattice_angstrom": [[-0.584, 4.793, -0.212], [-4.706, -0.530, 0.968], [0.636, 0.220, 3.212]], "species": ["Br", "Br", "Mo", "Si"], "frac_coords": [[0.000, 0.000, 0.000], [0.500, 0.500, 0.000], [0.500, 0.000, 0.500], [0.000, 0.500, 0.500]], "space_group": "P4/mmm (123)", "total_magnetization_mub_per_cell": 1.70, "dos_ef_per_ev_cell": 2.6, "polymorph_energy_ev_per_atom": 0.9723, "formation_energy_uncorrected_mev_per_atom": 957}